No. 1
The following is a PBE calculation of Ce2TmAuC after structural relaxation, from the Alexandria database.

Symmetry = P4/mmm (123)
Mass density = 9.53 g/cm3
ΔH_f (0 K) = -0.323 eV per atom

a = 4.887 Å, b = 4.887 Å, c = 4.800 Å
α = 90.00°, β = 90.00°, γ = 90.00°
Positions (direct):
1 Tm 0.000 0.000 0.500
2 Au 0.500 0.500 0.500
3 Ce 0.500 0.000 0.000
4 Ce 0.000 0.500 0.000
5 C 0.000 0.000 0.000

***

No. 2
The following is a PBE calculation of Y3CdO after structural relaxation, from the Alexandria database.

Symmetry = C2/c (15)
Uncorrected formation energy = -1.20 eV per atom
Mass density = 5.01 g/cm3
Offset from the most stable computed form = 134.1 meV/atom

a = 14.883 Å, b = 9.145 Å, c = 9.145 Å
α = 104.65°, β = 135.46°, γ = 44.54°
Positions (direct):
1 Cd 0.750 0.163 0.663
2 Cd 0.250 0.837 0.337
3 Cd 0.250 0.565 0.065
4 Cd 0.750 0.435 0.935
5 O 0.320 0.270 0.576
6 O 0.180 0.076 0.770
7 O 0.820 0.924 0.230
8 O 0.680 0.730 0.424
9 Y 0.396 0.369 0.512
10 Y 0.104 0.012 0.869
11 Y 0.896 0.988 0.131
12 Y 0.370 0.737 0.778
13 Y 0.870 0.722 0.763
14 Y 0.630 0.263 0.222
15 Y 0.604 0.631 0.488
16 Y 0.126 0.576 0.594
17 Y 0.626 0.906 0.924
18 Y 0.374 0.094 0.076
19 Y 0.874 0.424 0.406
20 Y 0.130 0.278 0.237

***

No. 3
The following is a PBE calculation of K2Tl3Pt after structural relaxation, from the Alexandria database.

Symmetry = Ibam (72)
Mass density = 6.50 g/cm3
ΔH_f (0 K) = -0.045 eV per atom
Offset from the most stable computed form = 36.1 meV/atom

a = 8.403 Å, b = 8.403 Å, c = 8.403 Å
α = 112.21°, β = 112.99°, γ = 103.38°
Positions (direct):
1 Tl 0.750 0.167 0.917
2 Tl 0.250 0.833 0.083
3 Tl 0.250 0.167 0.417
4 Tl 0.250 0.500 0.750
5 Tl 0.750 0.500 0.250
6 Tl 0.750 0.833 0.583
7 Pt 0.500 0.000 0.500
8 Pt 0.000 0.000 0.000
9 K 0.248 0.992 0.744
10 K 0.752 0.008 0.256
11 K 0.252 0.496 0.244
12 K 0.748 0.504 0.756

***

No. 4
The following is a PBE calculation of Li2Zn5Cu2Au after structural relaxation, from the Alexandria database.

Symmetry = P4/mbm (127)
Mass density = 6.85 g/cm3
ΔH_f (0 K) = -0.100 eV per atom

a = 3.261 Å, b = 9.940 Å, c = 9.940 Å
α = 90.00°, β = 90.00°, γ = 90.00°
Positions (direct):
1 Li 0.000 0.829 0.671
2 Li 0.000 0.671 0.171
3 Li 0.000 0.329 0.829
4 Li 0.000 0.171 0.329
5 Zn 0.500 0.500 0.000
6 Zn 0.500 0.060 0.799
7 Zn 0.500 0.799 0.940
8 Zn 0.500 0.940 0.201
9 Zn 0.500 0.201 0.060
10 Zn 0.500 0.299 0.560
11 Zn 0.500 0.701 0.440
12 Zn 0.500 0.000 0.500
13 Zn 0.500 0.440 0.299
14 Zn 0.500 0.560 0.701
15 Cu 0.000 0.129 0.629
16 Cu 0.000 0.371 0.129
17 Cu 0.000 0.871 0.371
18 Cu 0.000 0.629 0.871
19 Au 0.000 0.000 0.000
20 Au 0.000 0.500 0.500

***

No. 5
The following is a PBE calculation of ZrO after structural relaxation, from the Alexandria database.

Symmetry = P6_3mc (186)
Uncorrected formation energy = -2.22 eV per atom
Mass density = 5.86 g/cm3

a = 3.238 Å, b = 3.238 Å, c = 6.691 Å
α = 90.00°, β = 90.00°, γ = 120.00°
Positions (direct):
1 O 0.667 0.333 0.888
2 O 0.333 0.667 0.388
3 Zr 0.333 0.667 0.694
4 Zr 0.667 0.333 0.194

***

No. 6
The following is a PBE calculation of Zr2Fe2Au after structural relaxation, from the Alexandria database.

Symmetry = P4/mbm (127)
Mass density = 9.83 g/cm3
ΔH_f (0 K) = -0.224 eV per atom

a = 6.756 Å, b = 6.756 Å, c = 3.634 Å
α = 90.00°, β = 90.00°, γ = 90.00°
Positions (direct):
1 Zr 0.815 0.315 0.500
2 Zr 0.185 0.685 0.500
3 Zr 0.315 0.185 0.500
4 Zr 0.685 0.815 0.500
5 Fe 0.613 0.113 0.000
6 Fe 0.113 0.387 0.000
7 Fe 0.887 0.613 0.000
8 Fe 0.387 0.887 0.000
9 Au 0.500 0.500 0.000
10 Au 0.000 0.000 0.000

***

No. 7
The following is a PBE calculation of LiReNi2 after structural relaxation, from the Alexandria database.

Symmetry = I-42d (122)
Mass density = 10.24 g/cm3
ΔH_f (0 K) = 0.658 eV per atom
Offset from the most stable computed form = 652.9 meV/atom

a = 6.357 Å, b = 6.357 Å, c = 5.140 Å
α = 51.80°, β = 51.80°, γ = 90.00°
Positions (direct):
1 Re 0.750 0.250 0.500
2 Re 0.000 0.000 0.000
3 Li 0.500 0.500 0.000
4 Li 0.250 0.750 0.500
5 Ni 0.610 0.125 0.250
6 Ni 0.375 0.390 0.750
7 Ni 0.140 0.625 0.250
8 Ni 0.875 0.860 0.750

***

No. 8
The following is a PBE calculation of La4NdN4 after structural relaxation, from the Alexandria database.

Symmetry = I-42m (121)
Uncorrected formation energy = -0.74 eV per atom
Mass density = 5.98 g/cm3
Offset from the most stable computed form = 478.0 meV/atom

a = 6.135 Å, b = 6.135 Å, c = 7.061 Å
α = 115.75°, β = 115.75°, γ = 90.00°
Positions (direct):
1 La 0.500 0.000 0.000
2 La 0.000 0.500 0.000
3 La 0.295 0.295 0.589
4 La 0.705 0.705 0.411
5 N 0.132 0.132 0.775
6 N 0.868 0.358 0.225
7 N 0.642 0.642 0.775
8 N 0.358 0.868 0.225
9 Nd 0.000 0.000 0.000

***

No. 9
The following is a PBE calculation of LaFe2As after structural relaxation, from the Alexandria database.

Symmetry = C2/m (12)
Mass density = 7.13 g/cm3
ΔH_f (0 K) = 0.183 eV per atom

a = 5.208 Å, b = 5.208 Å, c = 4.191 Å
α = 66.69°, β = 66.69°, γ = 111.09°
Positions (direct):
1 La 0.500 0.000 0.500
2 Fe 0.500 0.500 0.000
3 Fe 0.000 0.000 0.000
4 As 0.000 0.500 0.500

***

No. 10
The following is a PBE calculation of HfTaNi after structural relaxation, from the Alexandria database.

Symmetry = I4mm (107)
Mass density = 13.56 g/cm3
ΔH_f (0 K) = -0.204 eV per atom
Offset from the most stable computed form = 69.0 meV/atom

a = 3.085 Å, b = 3.085 Å, c = 5.805 Å
α = 105.41°, β = 105.41°, γ = 90.00°
Positions (direct):
1 Hf 0.673 0.673 0.347
2 Ni 0.346 0.346 0.693
3 Ta 0.980 0.980 0.961

***

No. 11
The following is a PBE calculation of FeSn3Sb after structural relaxation, from the Alexandria database.

Symmetry = Pm-3m (221)
Uncorrected formation energy = 0.17 eV per atom
Mass density = 7.14 g/cm3
Offset from the most stable computed form = 0.0 meV/atom

a = 4.988 Å, b = 4.988 Å, c = 4.988 Å
α = 90.00°, β = 90.00°, γ = 90.00°
Positions (direct):
1 Sb 0.500 0.500 0.500
2 Fe 0.000 0.000 0.000
3 Sn 0.000 0.500 0.000
4 Sn 0.000 0.000 0.500
5 Sn 0.500 0.000 0.000

***

No. 12
The following is a PBE calculation of TbLuZnPd after structural relaxation, from the Alexandria database.

Symmetry = F-43m (216)
Mass density = 9.72 g/cm3
ΔH_f (0 K) = -0.618 eV per atom

a = 4.963 Å, b = 4.963 Å, c = 4.963 Å
α = 60.00°, β = 60.00°, γ = 60.00°
Positions (direct):
1 Lu 0.250 0.250 0.250
2 Pd 0.500 0.500 0.500
3 Zn 0.000 0.000 0.000
4 Tb 0.750 0.750 0.750

***

Number 1: magnetization 0.7 μB/cell. Number 2: magnetization 0.0 μB/cell. Number 3: magnetization 0.0 μB/cell. Number 4: magnetization 0.0 μB/cell. Number 5: magnetization 0.0 μB/cell. Number 6: magnetization 0.0 μB/cell. Number 7: magnetization 0.0 μB/cell. Number 8: magnetization 2.4 μB/cell. Number 9: magnetization 4.0 μB/cell. Number 10: magnetization 0.0 μB/cell. Number 11: magnetization 0.0 μB/cell. Number 12: magnetization 0.0 μB/cell.